Ga2AgGe2 PBE relaxed; uncorrected energy = -16.9 eV/f.u.
1.0
-2.147 2.147 5.555
2.147 -2.147 5.555
2.147 2.147 -5.555
Ga Ag Ge
2 1 2
direct
0.110 0.110 0.000 Ga
0.890 0.890 0.000 Ga
0.500 0.500 0.000 Ag
0.250 0.750 0.500 Ge
0.750 0.250 0.500 Ge